Entry 1:
Below is MgAsW2 after structural relaxation, with properties calculated at the GGA-PBE level. Values from VASP.

Geometry as Quantum ESPRESSO input:
```
&SYSTEM
  ibrav = 0, nat = 4, ntyp = 3
/
ATOMIC_SPECIES
Mg 24.30 Mg.upf
As 74.92 As.upf
W 183.84 W.upf
ATOMIC_POSITIONS crystal
Mg 0.000 0.000 0.000
As 0.500 0.500 0.000
W 0.250 0.750 0.500
W 0.750 0.250 0.500
CELL_PARAMETERS angstrom
-1.911 1.911 4.572
1.911 -1.911 4.572
1.911 1.911 -4.572
```

Properties
Energy relative to the lowest polymorph listed for this composition (eV per atom): 0.355
Magnetic moment (Bohr magnetons per cell): 0.00
SG: I4/mmm
ΔH_f (0 K) (meV per atom): 540

Entry 2:
Below is Mg2AsW after structural relaxation, with properties calculated at the GGA-PBE level. Values from VASP.

Geometry as Quantum ESPRESSO input:
```
&SYSTEM
  ibrav = 0, nat = 4, ntyp = 3
/
ATOMIC_SPECIES
Mg 24.30 Mg.upf
As 74.92 As.upf
W 183.84 W.upf
ATOMIC_POSITIONS crystal
Mg 0.000 0.500 0.000
Mg 0.500 0.000 0.000
As 0.000 0.000 0.500
W 0.500 0.500 0.500
CELL_PARAMETERS angstrom
2.724 -4.471 0.000
2.724 4.471 0.000
0.000 0.000 2.876
```

Properties
Magnetic moment (Bohr magnetons per cell): 0.00
SG: Cmmm
ΔH_f (0 K) (meV per atom): 266

Entry 3:
Below is Mg4AsW after structural relaxation, with properties calculated at the GGA-PBE level. Values from VASP.

Geometry as Quantum ESPRESSO input:
```
&SYSTEM
  ibrav = 0, nat = 6, ntyp = 3
/
ATOMIC_SPECIES
Mg 24.30 Mg.upf
As 74.92 As.upf
W 183.84 W.upf
ATOMIC_POSITIONS crystal
Mg 0.124 0.124 0.124
Mg 0.124 0.124 0.628
Mg 0.124 0.628 0.124
Mg 0.628 0.124 0.124
As 0.500 0.500 0.500
W 0.750 0.750 0.750
CELL_PARAMETERS angstrom
0.000 3.871 3.871
3.871 0.000 3.871
3.871 3.871 0.000
```

Properties
Magnetic moment (Bohr magnetons per cell): 1.71
SG: F-43m
ΔH_f (0 K) (meV per atom): 659

Entry 4:
Below is Mg2AsW after structural relaxation, with properties calculated at the GGA-PBE level. Values from VASP.

Geometry as Quantum ESPRESSO input:
```
&SYSTEM
  ibrav = 0, nat = 4, ntyp = 3
/
ATOMIC_SPECIES
Mg 24.30 Mg.upf
As 74.92 As.upf
W 183.84 W.upf
ATOMIC_POSITIONS crystal
Mg 0.000 0.000 0.000
Mg 0.722 0.222 0.500
As 0.472 0.472 0.000
W 0.270 0.770 0.500
CELL_PARAMETERS angstrom
-1.662 2.351 4.641
1.662 -2.351 4.641
1.662 2.351 -4.641
```

Properties
Magnetic moment (Bohr magnetons per cell): 0.00
SG: Imm2
ΔH_f (0 K) (meV per atom): 227

Entry 5:
Below is MgAsW2 after structural relaxation, with properties calculated at the GGA-PBE level. Values from VASP.

Geometry as Quantum ESPRESSO input:
```
&SYSTEM
  ibrav = 0, nat = 4, ntyp = 3
/
ATOMIC_SPECIES
Mg 24.30 Mg.upf
As 74.92 As.upf
W 183.84 W.upf
ATOMIC_POSITIONS crystal
Mg 0.000 0.000 0.000
As 0.481 0.500 0.795
W 0.375 0.000 0.500
W 0.632 0.500 0.281
CELL_PARAMETERS angstrom
2.876 0.000 0.000
0.000 4.377 0.000
-0.503 0.000 5.371
```

Properties
Energy relative to the lowest polymorph listed for this composition (eV per atom): 0.151
Magnetic moment (Bohr magnetons per cell): 0.00
SG: Pm
ΔH_f (0 K) (meV per atom): 336

Entry 6:
Below is MgAsW2 after structural relaxation, with properties calculated at the GGA-PBE level. Values from VASP.

Geometry as Quantum ESPRESSO input:
```
&SYSTEM
  ibrav = 0, nat = 4, ntyp = 3
/
ATOMIC_SPECIES
Mg 24.30 Mg.upf
As 74.92 As.upf
W 183.84 W.upf
ATOMIC_POSITIONS crystal
Mg 0.000 0.000 0.000
As 0.500 0.500 0.500
W 0.241 0.241 0.241
W 0.759 0.759 0.759
CELL_PARAMETERS angstrom
1.492 0.862 8.738
-1.492 0.862 8.738
0.000 -1.723 8.738
```

Properties
Energy relative to the lowest polymorph listed for this composition (eV per atom): 0.284
Magnetic moment (Bohr magnetons per cell): 0.00
SG: R-3m
ΔH_f (0 K) (meV per atom): 469

Entry 7:
Below is MgAsW2 after structural relaxation, with properties calculated at the GGA-PBE level. Values from VASP.

Geometry as Quantum ESPRESSO input:
```
&SYSTEM
  ibrav = 0, nat = 4, ntyp = 3
/
ATOMIC_SPECIES
Mg 24.30 Mg.upf
As 74.92 As.upf
W 183.84 W.upf
ATOMIC_POSITIONS crystal
Mg 0.000 0.000 0.000
As 0.257 0.757 0.500
W 0.497 0.497 0.000
W 0.735 0.235 0.500
CELL_PARAMETERS angstrom
-1.716 2.241 4.245
1.716 -2.241 4.245
1.716 2.241 -4.245
```

Properties
Energy relative to the lowest polymorph listed for this composition (eV per atom): 0.212
Magnetic moment (Bohr magnetons per cell): 0.00
SG: Imm2
ΔH_f (0 K) (meV per atom): 398

Entry 8:
Below is MgAsW2 after structural relaxation, with properties calculated at the GGA-PBE level. Values from VASP.

Geometry as Quantum ESPRESSO input:
```
&SYSTEM
  ibrav = 0, nat = 8, ntyp = 3
/
ATOMIC_SPECIES
Mg 24.30 Mg.upf
As 74.92 As.upf
W 183.84 W.upf
ATOMIC_POSITIONS crystal
Mg 0.000 0.000 0.000
Mg 0.750 0.250 0.500
As 0.250 0.750 0.500
As 0.500 0.500 0.000
W 0.118 0.625 0.993
W 0.375 0.368 0.493
W 0.632 0.125 0.007
W 0.875 0.882 0.507
CELL_PARAMETERS angstrom
-1.903 1.903 9.705
1.903 -1.903 9.705
1.903 1.903 -9.705
```

Properties
Energy relative to the lowest polymorph listed for this composition (eV per atom): 0.373
Magnetic moment (Bohr magnetons per cell): 0.00
SG: I-42d
ΔH_f (0 K) (meV per atom): 559

Entry 9:
Below is MgAs2W after structural relaxation, with properties calculated at the GGA-PBE level. Values from VASP.

Geometry as Quantum ESPRESSO input:
```
&SYSTEM
  ibrav = 0, nat = 8, ntyp = 3
/
ATOMIC_SPECIES
Mg 24.30 Mg.upf
As 74.92 As.upf
W 183.84 W.upf
ATOMIC_POSITIONS crystal
Mg 0.000 0.000 0.000
Mg 0.750 0.250 0.500
As 0.157 0.625 0.032
As 0.375 0.407 0.532
As 0.593 0.125 0.968
As 0.875 0.843 0.468
W 0.250 0.750 0.500
W 0.500 0.500 0.000
CELL_PARAMETERS angstrom
-2.980 2.980 5.799
2.980 -2.980 5.799
2.980 2.980 -5.799
```

Properties
Magnetic moment (Bohr magnetons per cell): 2.42
SG: I-42d
ΔH_f (0 K) (meV per atom): 258

Entry 10:
Below is MgAsW2 after structural relaxation, with properties calculated at the GGA-PBE level. Values from VASP.

Geometry as Quantum ESPRESSO input:
```
&SYSTEM
  ibrav = 0, nat = 4, ntyp = 3
/
ATOMIC_SPECIES
Mg 24.30 Mg.upf
As 74.92 As.upf
W 183.84 W.upf
ATOMIC_POSITIONS crystal
Mg 0.000 0.000 0.000
As 0.000 0.000 0.500
W 0.500 0.500 0.246
W 0.500 0.500 0.754
CELL_PARAMETERS angstrom
2.752 0.000 0.000
0.000 4.520 0.000
0.000 0.000 5.405
```

Properties
Energy relative to the lowest polymorph listed for this composition (eV per atom): 0.448
Magnetic moment (Bohr magnetons per cell): 0.00
SG: Pmmm
ΔH_f (0 K) (meV per atom): 634

Entry 11:
Below is YMg2As2 after structural relaxation, with properties calculated at the GGA-PBE level. Values from VASP.

Geometry as Quantum ESPRESSO input:
```
&SYSTEM
  ibrav = 0, nat = 10, ntyp = 3
/
ATOMIC_SPECIES
Y 88.91 Y.upf
Mg 24.30 Mg.upf
As 74.92 As.upf
ATOMIC_POSITIONS crystal
Y 0.000 0.000 0.000
Y 0.500 0.500 0.000
Mg 0.141 0.359 0.500
Mg 0.359 0.859 0.500
Mg 0.641 0.141 0.500
Mg 0.859 0.641 0.500
As 0.160 0.660 0.000
As 0.340 0.160 0.000
As 0.660 0.840 0.000
As 0.840 0.340 0.000
CELL_PARAMETERS angstrom
7.688 0.000 0.000
0.000 7.688 0.000
0.000 0.000 3.717
```

Properties
Magnetic moment (Bohr magnetons per cell): 0.90
SG: P4/mbm
ΔH_f (0 K) (meV per atom): -604

Entry 12:
Below is YMg2As after structural relaxation, with properties calculated at the GGA-PBE level. Values from VASP.

Geometry as Quantum ESPRESSO input:
```
&SYSTEM
  ibrav = 0, nat = 4, ntyp = 3
/
ATOMIC_SPECIES
Y 88.91 Y.upf
Mg 24.30 Mg.upf
As 74.92 As.upf
ATOMIC_POSITIONS crystal
Y 0.000 0.000 0.000
Mg 0.000 0.272 0.272
Mg 0.500 0.666 0.666
As 0.500 0.437 0.437
CELL_PARAMETERS angstrom
3.859 0.000 0.000
0.000 2.049 6.074
0.000 -2.049 6.074
```

Properties
Magnetic moment (Bohr magnetons per cell): 0.00
SG: Amm2
ΔH_f (0 K) (meV per atom): -573